Sm8DyTh4: relaxed, PBE.

Structure (extended XYZ):
```
13
Lattice="5.6103 3.2391 4.4680 -5.6103 3.2391 4.4680 0.0000 -6.4782 4.4680" Properties=species:S:1:pos:R:3 pbc="T T T"
Sm 0.0000 -3.3485 5.4685
Sm -2.8999 1.6743 5.4685
Sm 0.0000 0.0000 3.2005
Sm -2.8999 -1.6743 7.9354
Sm 2.8999 1.6743 5.4685
Sm 0.0000 0.0000 10.2035
Sm 2.8999 -1.6743 7.9354
Sm 0.0000 3.3485 7.9354
Dy 0.0000 0.0000 6.7020
Th 0.0000 0.0000 0.0000
Th -2.8051 -1.6195 4.4680
Th -2.8051 1.6195 8.9360
Th 0.0000 3.2391 4.4680
```

- total magnetization (μB/f.u.) = 0.00
- formation energy (eV per atom) = 0.5685

***

PrYErTm: relaxed, PBE.

Structure (extended XYZ):
```
4
Lattice="6.1891 -2.9109 0.0000 6.1891 2.9109 0.0000 -1.1608 0.0000 3.6153" Properties=species:S:1:pos:R:3 pbc="T T T"
Pr 0.0000 0.0000 0.0000
Y 2.4013 0.0000 2.7905
Er 5.7288 0.0000 1.8572
Tm 8.9595 0.0000 0.9123
```

- total magnetization (μB/f.u.) = 0.00
- excess energy over the best structure of this formula in the dataset (eV/f.u.) = 0.01
- formation energy (eV per atom) = 0.1152